# TbHo5N6 PBE optimized geometry
data_TbHo5N6
_space_group_name_H-M_alt 'C 1 2/m 1'
_space_group_IT_number 12
_space_group_name_Hall '-C 2y'
_cell_length_a 5.989
_cell_length_b 10.375
_cell_length_c 5.989
_cell_angle_alpha 90.00
_cell_angle_beta 109.46
_cell_angle_gamma 90.00
loop_
_atom_site_label
_atom_site_type_symbol
_atom_site_fract_x
_atom_site_fract_y
_atom_site_fract_z
Tb1 Tb 0.000 0.000 0.000
Ho1 Ho 0.000 0.167 0.500
Ho2 Ho 0.000 0.333 0.000
Ho3 Ho 0.000 0.500 0.500
N1 N 0.248 0.500 0.251
N2 N 0.249 0.332 0.749
# Spin magnetization in μB/f.u.: 0.000
# Crystal system: monoclinic
# Total energy in eV per cell: -196.5
# Formation energy without anion corrections in meV/atom: -1732